Compound: Ce2Pa3N8
Source: Alexandria
Functional: PBE
Structure: optimized geometry

a b c (Å): 5.9334 6.9232 6.6758
angles (deg): 121.23 107.17 90.00
Closest atoms and distances in Å follow each position.
Element x y z (fractional)
Ce: 0.3734 0.2903 0.5805  5 N 2.33-2.44
Ce: 0.6266 0.7097 0.4195  5 N 2.33-2.44
Pa: 0.5000 0.0000 0.0000  6 N 2.27-2.32
Pa: 0.0000 0.2572 0.0000  6 N 2.24-2.31
Pa: 0.0000 0.7428 0.0000  6 N 2.24-2.31
N: 0.8843 0.5958 0.1915  2 Pa 2.24, 1 Ce 2.33
N: 0.1157 0.4042 0.8085  2 Pa 2.24, 1 Ce 2.33
N: 0.9138 0.1003 0.2005  3 Pa 2.27-2.32
N: 0.0862 0.8997 0.7995  3 Pa 2.27-2.32
N: 0.6044 0.6642 0.7522  2 Pa 2.27-2.31, 2 Ce 2.43-2.44
N: 0.6044 0.0880 0.7522  2 Pa 2.27-2.31, 2 Ce 2.43-2.44
N: 0.3956 0.9120 0.2478  2 Pa 2.27-2.31, 2 Ce 2.43-2.44
N: 0.3956 0.3358 0.2478  2 Pa 2.27-2.31, 2 Ce 2.43-2.44

Values from the calculation:
Its uncorrected formation energy is -1.32 eV per atom. The calculation puts the total moment at 0.00 μB/atom. As for the total energy: -9.55 eV per atom.